[1]
{
  "formula": "TbSc5",
  "functional": "GGA-PBE",
  "state": "relaxed",
  "lattice_angstrom": [[-2.587, -1.319, 1.712], [5.091, -2.871, 2.161], [-0.330, 6.426, 4.451]],
  "species": ["Sc", "Sc", "Sc", "Sc", "Sc", "Tb"],
  "frac_coords": [[0.724, 0.449, 0.938], [0.385, 0.770, 0.284], [0.331, 0.662, 0.661], [0.669, 0.337, 0.340], [0.055, 0.111, 0.607], [0.002, 0.005, 0.004]],
  "spacegroup": "Cm",
  "e_form_ev_per_atom": 0.015,
  "total_magnetization_mub_per_fu": 0.00,
  "polymorph_energy_mev_per_atom": 0.0,
  "n_ef_per_ev_fu": 11.0
}

---

[2]
{
  "formula": "SrHgAs2Br",
  "functional": "GGA-PBE",
  "state": "relaxed",
  "lattice_angstrom": [[5.135, 0.000, 0.000], [0.000, 5.135, 0.000], [0.000, 0.000, 6.165]],
  "species": ["Br", "Sr", "As", "As", "Hg"],
  "frac_coords": [[0.000, 0.000, 0.500], [0.500, 0.500, 0.500], [0.500, 0.000, 0.000], [0.000, 0.500, 0.000], [0.000, 0.000, 0.000]],
  "e_form_raw_ev_per_atom": -0.114,
  "spacegroup": "P4/mmm",
  "total_magnetization_mub_per_fu": 0.68,
  "polymorph_energy_mev_per_atom": 0.0,
  "n_ef_per_ev_fu": 4.9
}

---

[3]
{
  "formula": "CoPPt2",
  "functional": "GGA-PBE",
  "state": "relaxed",
  "lattice_angstrom": [[2.840, 0.000, 0.000], [0.000, 2.840, 0.000], [0.000, 0.000, 6.658]],
  "species": ["P", "Co", "Pt", "Pt"],
  "frac_coords": [[0.500, 0.500, 0.708], [0.000, 0.000, 0.552], [0.000, 0.000, 0.963], [0.500, 0.500, 0.276]],
  "spacegroup": "P4mm",
  "e_form_ev_per_atom": -0.117,
  "total_magnetization_mub_per_fu": 0.00,
  "n_ef_per_ev_fu": 3.3
}